Record 1
Density functional theory data (PBE) for an optimized crystal structure of TeRu2Rh.

```
data_TeRu2Rh
_cell_length_a 4.7485
_cell_length_b 4.7485
_cell_length_c 4.7882
_cell_angle_alpha 81.08
_cell_angle_beta 81.08
_cell_angle_gamma 36.80
_symmetry_space_group_name_H-M 'P 1'
_symmetry_Int_Tables_number 1
loop_
_symmetry_equiv_pos_as_xyz
'x,y,z'
loop_
_atom_site_label
_atom_site_fract_x
_atom_site_fract_y
_atom_site_fract_z
Ru1 0.0018 0.0018 0.9903
Ru2 0.7430 0.7430 0.7786
Rh1 0.2558 0.2558 0.2348
Te1 0.4994 0.4994 0.4962
```



Record 2
Density functional theory data (PBE) for an optimized crystal structure of TeRu2Rh.

```
data_TeRu2Rh
_cell_length_a 4.0125
_cell_length_b 2.9586
_cell_length_c 5.6417
_cell_angle_alpha 74.60
_cell_angle_beta 90.00
_cell_angle_gamma 90.00
_symmetry_space_group_name_H-M 'P 1'
_symmetry_Int_Tables_number 1
loop_
_symmetry_equiv_pos_as_xyz
'x,y,z'
loop_
_atom_site_label
_atom_site_fract_x
_atom_site_fract_y
_atom_site_fract_z
Rh1 0.5000 0.6934 0.7385
Te1 0.0000 0.2998 0.5295
Ru1 0.0000 0.0562 0.0129
Ru2 0.5000 0.4506 0.2191
```



Record 3
Density functional theory data (PBE) for an optimized crystal structure of TeRu2Rh.

```
data_TeRu2Rh
_cell_length_a 2.9694
_cell_length_b 2.9694
_cell_length_c 7.3656
_cell_angle_alpha 90.00
_cell_angle_beta 90.00
_cell_angle_gamma 90.00
_symmetry_space_group_name_H-M 'P 1'
_symmetry_Int_Tables_number 1
loop_
_symmetry_equiv_pos_as_xyz
'x,y,z'
loop_
_atom_site_label
_atom_site_fract_x
_atom_site_fract_y
_atom_site_fract_z
Ru1 0.0000 0.0000 0.0101
Ru2 0.5000 0.5000 0.2290
Te1 0.0000 0.0000 0.5002
Rh1 0.5000 0.5000 0.7606
```



Record 4
Density functional theory data (PBE) for an optimized crystal structure of Te2RuRh.

Results
Energy above the most stable polymorph in this dataset in kJ per mole of atoms: 38.56

```
data_Te2RuRh
_cell_length_a 8.5994
_cell_length_b 8.5994
_cell_length_c 8.5994
_cell_angle_alpha 24.04
_cell_angle_beta 24.04
_cell_angle_gamma 24.04
_symmetry_space_group_name_H-M 'P 1'
_symmetry_Int_Tables_number 1
loop_
_symmetry_equiv_pos_as_xyz
'x,y,z'
loop_
_atom_site_label
_atom_site_fract_x
_atom_site_fract_y
_atom_site_fract_z
Rh1 0.0000 0.0000 0.0000
Te1 0.8991 0.8991 0.8991
Te2 0.1009 0.1009 0.1009
Ru1 0.5000 0.5000 0.5000
```



Record 5
Density functional theory data (PBE) for an optimized crystal structure of Te2RuRh.

Results
Energy above the most stable polymorph in this dataset in kJ per mole of atoms: 21.35

```
data_Te2RuRh
_cell_length_a 8.0240
_cell_length_b 8.0240
_cell_length_c 8.0240
_cell_angle_alpha 24.33
_cell_angle_beta 24.33
_cell_angle_gamma 24.33
_symmetry_space_group_name_H-M 'P 1'
_symmetry_Int_Tables_number 1
loop_
_symmetry_equiv_pos_as_xyz
'x,y,z'
loop_
_atom_site_label
_atom_site_fract_x
_atom_site_fract_y
_atom_site_fract_z
Ru1 0.7500 0.7500 0.7500
Rh1 0.2500 0.2500 0.2500
Te1 0.4999 0.4999 0.4999
Te2 0.0001 0.0001 0.0001
```



Record 6
Density functional theory data (PBE) for an optimized crystal structure of TeRu2Rh.

```
data_TeRu2Rh
_cell_length_a 3.9774
_cell_length_b 3.9774
_cell_length_c 3.9381
_cell_angle_alpha 90.00
_cell_angle_beta 90.00
_cell_angle_gamma 90.00
_symmetry_space_group_name_H-M 'P 1'
_symmetry_Int_Tables_number 1
loop_
_symmetry_equiv_pos_as_xyz
'x,y,z'
loop_
_atom_site_label
_atom_site_fract_x
_atom_site_fract_y
_atom_site_fract_z
Te1 0.5000 0.0000 0.5000
Ru1 0.5000 0.5000 0.0000
Ru2 0.0000 0.0000 0.0000
Rh1 0.0000 0.5000 0.5000
```



Record 7
Density functional theory data (PBE) for an optimized crystal structure of TeRu2Rh.

```
data_TeRu2Rh
_cell_length_a 4.0992
_cell_length_b 2.9900
_cell_length_c 5.5429
_cell_angle_alpha 71.96
_cell_angle_beta 90.00
_cell_angle_gamma 90.00
_symmetry_space_group_name_H-M 'P 1'
_symmetry_Int_Tables_number 1
loop_
_symmetry_equiv_pos_as_xyz
'x,y,z'
loop_
_atom_site_label
_atom_site_fract_x
_atom_site_fract_y
_atom_site_fract_z
Ru1 0.0000 0.3804 0.5068
Ru2 0.0000 0.1196 0.9932
Te1 0.5000 0.2500 0.2500
Rh1 0.5000 0.7500 0.7500
```



Record 8
Density functional theory data (PBE) for an optimized crystal structure of Te2RuRh.

Results
Energy above the most stable polymorph in this dataset in kJ per mole of atoms: 0.00

```
data_Te2RuRh
_cell_length_a 3.7913
_cell_length_b 3.3677
_cell_length_c 6.8169
_cell_angle_alpha 90.00
_cell_angle_beta 90.00
_cell_angle_gamma 90.00
_symmetry_space_group_name_H-M 'P 1'
_symmetry_Int_Tables_number 1
loop_
_symmetry_equiv_pos_as_xyz
'x,y,z'
loop_
_atom_site_label
_atom_site_fract_x
_atom_site_fract_y
_atom_site_fract_z
Te1 0.0000 0.0000 0.8901
Te2 0.5000 0.5000 0.3630
Rh1 0.0000 0.0000 0.5046
Ru1 0.5000 0.5000 0.7423
```



Energy relative to the elements, uncorrected values (in meV/atom) by entry order: 268 297 360 319 140 215 348 -81.
Total magnetic moment values (in μB/atom) by entry order: 0.000 0.000 0.000 0.114 0.000 0.000 0.000 0.000.